This record from Alexandria describes an optimized crystal structure of HPd2N. The functional is GGA-PBE.

Values from the calculation:
Size of the total moment: 0.0 μB/f.u.
Crystal system: tetragonal
VASP energy: -5.04 eV/atom

Lattice parameters (Å, degrees): 5.4733 5.4733 5.4733 130.76 130.76 72.20
With the nearest neighbours (Å) after each atom.
Fractional positions:
H 0.0000 0.0000 0.0000  4 Pd 1.88
H 0.7500 0.2500 0.5000  4 Pd 1.88
Pd 0.0971 0.6250 0.9721  2 H 1.88, 2 N 2.03
Pd 0.3750 0.3471 0.4721  2 H 1.88, 2 N 2.03
Pd 0.6529 0.1250 0.0279  2 H 1.88, 2 N 2.03
Pd 0.8750 0.9029 0.5279  2 H 1.88, 2 N 2.03
N 0.2500 0.7500 0.5000  4 Pd 2.03
N 0.5000 0.5000 0.0000  4 Pd 2.03


This record from Alexandria describes an optimized crystal structure of HPd3N. The functional is GGA-PBE.

Values from the calculation:
Size of the total moment: 0.0 μB/f.u.
Crystal system: cubic
VASP energy: -4.75 eV/atom

Lattice parameters (Å, degrees): 4.0886 4.0886 4.0886 90.00 90.00 90.00
With the nearest neighbours (Å) after each atom.
Fractional positions:
H 0.0000 0.0000 0.0000  12 Pd 2.89
Pd 0.0000 0.5000 0.5000  2 N 2.04
Pd 0.5000 0.0000 0.5000  2 N 2.04
Pd 0.5000 0.5000 0.0000  2 N 2.04
N 0.5000 0.5000 0.5000  6 Pd 2.04


This record from Alexandria describes an optimized crystal structure of HPd2N. The functional is GGA-PBE.

Values from the calculation:
Size of the total moment: 0.0 μB/f.u.
Crystal system: cubic
VASP energy: -4.44 eV/atom

Lattice parameters (Å, degrees): 3.8794 3.8794 3.8794 60.00 60.00 60.00
With the nearest neighbours (Å) after each atom.
Fractional positions:
H 0.0000 0.0000 0.0000  8 Pd 2.38
Pd 0.2500 0.2500 0.2500  4 H 2.38, 4 N 2.38
Pd 0.7500 0.7500 0.7500  4 N 2.38, 4 H 2.38
N 0.5000 0.5000 0.5000  8 Pd 2.38


This record from Alexandria describes an optimized crystal structure of H6PdN. The functional is GGA-PBE.

Values from the calculation:
Size of the total moment: 0.0 μB/f.u.
Crystal system: trigonal
VASP energy: -3.55 eV/atom

Lattice parameters (Å, degrees): 5.6820 5.6820 5.6820 31.20 31.20 31.20
With the nearest neighbours (Å) after each atom.
Fractional positions:
H 0.1318 0.1318 0.5787  1 N 1.30, 2 H 1.37
H 0.1318 0.5787 0.1318  1 N 1.30, 2 H 1.37
H 0.4213 0.8682 0.8682  1 N 1.30, 2 H 1.37
H 0.5787 0.1318 0.1318  1 N 1.30, 2 H 1.37
H 0.8682 0.4213 0.8682  1 N 1.30, 2 H 1.37
H 0.8682 0.8682 0.4213  1 N 1.30, 2 H 1.37
Pd 0.5000 0.5000 0.5000  12 H 2.40
N 0.0000 0.0000 0.0000  6 H 1.30


This record from Alexandria describes an optimized crystal structure of HPdN. The functional is GGA-PBE.

Values from the calculation:
Size of the total moment: 0.0 μB/f.u.
Crystal system: triclinic
VASP energy: -5.51 eV/atom

Lattice parameters (Å, degrees): 2.9021 5.3476 11.8404 100.59 95.98 94.57
With the nearest neighbours (Å) after each atom.
Fractional positions:
H 0.1141 0.0764 0.1457  3 Pd 1.81-1.83
H 0.3864 0.4236 0.8543  3 Pd 1.81-1.83
H 0.6136 0.5764 0.1457  3 Pd 1.81-1.83
H 0.8859 0.9236 0.8543  3 Pd 1.81-1.83
Pd 0.0635 0.3803 0.0976  3 H 1.81-1.83
Pd 0.4362 0.1198 0.9024  3 H 1.81-1.83
Pd 0.5638 0.8802 0.0976  3 H 1.81-1.83
Pd 0.9365 0.6197 0.9024  3 H 1.81-1.83
N 0.0046 0.4813 0.4524  1 N 1.11
N 0.0509 0.0217 0.5476  1 N 1.11
N 0.9491 0.9783 0.4524  1 N 1.11
N 0.9954 0.5187 0.5476  1 N 1.11


This record from Alexandria describes an optimized crystal structure of HPdN3. The functional is GGA-PBE.

Values from the calculation:
Size of the total moment: 0.0 μB/f.u.
Crystal system: cubic
VASP energy: -4.28 eV/atom

Lattice parameters (Å, degrees): 3.3704 3.3704 3.3704 90.00 90.00 90.00
With the nearest neighbours (Å) after each atom.
Fractional positions:
H 0.0000 0.0000 0.0000  6 N 1.69
Pd 0.5000 0.5000 0.5000  12 N 2.38
N 0.0000 0.0000 0.5000  2 H 1.69
N 0.0000 0.5000 0.0000  2 H 1.69
N 0.5000 0.0000 0.0000  2 H 1.69